{"formula": "YTlPtSe3", "functional": "PBE", "state": "optimized geometry", "cell": [[1.9725, -7.6033, 0.0000], [1.9725, 7.6033, 0.0000], [0.0000, 0.0000, 10.3187]], "species": ["Tl", "Se", "Y", "Tl", "Y", "Se", "Se", "Se", "Pt", "Se", "Pt", "Se"], "frac_coords": [[0.2404, 0.7596, 0.2500], [0.3708, 0.6292, 0.9290], [0.0000, 0.0000, 0.0000], [0.7596, 0.2404, 0.7500], [0.0000, 0.0000, 0.5000], [0.6292, 0.3708, 0.4290], [0.9120, 0.0880, 0.2500], [0.3708, 0.6292, 0.5710], [0.4852, 0.5148, 0.7500], [0.6292, 0.3708, 0.0710], [0.5148, 0.4852, 0.2500], [0.0880, 0.9120, 0.7500]], "density_g_cm3": 7.782, "final_energy_ev_per_atom": -5.109, "total_magnetization_mub_per_cell": 0.0, "sg": "Cmcm"}